Entry 1:
A relaxed Tb2AlFe crystal. Source: the Alexandria database, functional GGA-PBE.

Properties
energy relative to the elements = -0.113 eV/atom

Cell: 3.5108 3.5108 7.1133 Å, 90.00 90.00 90.00°
Space group P4/mmm (No. 123)
Symmetry-distinct sites (fractional):
Tb (0.0000, 0.0000, 0.2290) (multiplicity 2)
Al (0.5000, 0.5000, 0.5000) (multiplicity 1)
Fe (0.5000, 0.5000, 0.0000) (multiplicity 1)

Entry 2:
A relaxed TbTmAlFe crystal. Source: the Alexandria database, functional GGA-PBE.

Properties
energy relative to the elements = -0.081 eV/atom

Cell: 6.9985 6.9985 6.9985 Å, 90.00 90.00 90.00°
Space group F-43m (No. 216)
Symmetry-distinct sites (fractional):
Tb (0.0000, 0.0000, 0.0000) (multiplicity 4)
Tm (0.0000, 0.0000, 0.5000) (multiplicity 4)
Al (0.2500, 0.2500, 0.2500) (multiplicity 4)
Fe (0.2500, 0.2500, 0.7500) (multiplicity 4)

Entry 3:
A relaxed AlFe2Tc crystal. Source: the Alexandria database, functional GGA-PBE.

Properties
energy relative to the elements = -0.051 eV/atom

Cell: 5.1466 7.6546 2.6212 Å, 90.00 90.00 90.00°
Space group Cmmm (No. 65)
Symmetry-distinct sites (fractional):
Al (0.0000, 0.0000, 0.0000) (multiplicity 2)
Fe (0.2500, 0.2500, 0.5000) (multiplicity 4)
Tc (0.0000, 0.5000, 0.0000) (multiplicity 2)

Entry 4:
A relaxed AlFeTc2 crystal. Source: the Alexandria database, functional GGA-PBE.

Properties
energy relative to the elements = -0.152 eV/atom

Cell: 2.8979 2.8979 6.3107 Å, 90.00 90.00 90.00°
Space group P4mm (No. 99)
Symmetry-distinct sites (fractional):
Al (0.0000, 0.0000, 0.0000) (multiplicity 1)
Fe (0.5000, 0.5000, 0.2244) (multiplicity 1)
Tc (0.0000, 0.0000, 0.4686) (multiplicity 1)
Tc (0.5000, 0.5000, 0.7349) (multiplicity 1)

Entry 5:
A relaxed AlFe2Tc crystal. Source: the Alexandria database, functional GGA-PBE.

Properties
energy relative to the elements = -0.113 eV/atom

Cell: 3.0702 4.0302 8.1442 Å, 90.00 90.00 90.00°
Space group Immm (No. 71)
Symmetry-distinct sites (fractional):
Al (0.0000, 0.0000, 0.0000) (multiplicity 2)
Fe (0.0000, 0.5000, 0.2486) (multiplicity 4)
Tc (0.0000, 0.0000, 0.5000) (multiplicity 2)

Entry 6:
A relaxed AlFeTc2 crystal. Source: the Alexandria database, functional GGA-PBE.

Properties
energy relative to the elements = -0.090 eV/atom

Cell: 3.8153 3.8153 7.5814 Å, 90.00 90.00 90.00°
Space group I-4m2 (No. 119)
Symmetry-distinct sites (fractional):
Al (0.0000, 0.0000, 0.0000) (multiplicity 2)
Fe (0.0000, 0.5000, 0.7500) (multiplicity 2)
Tc (0.0000, 0.0000, 0.5000) (multiplicity 2)
Tc (0.0000, 0.5000, 0.2500) (multiplicity 2)

Entry 7:
A relaxed AlFeTc4 crystal. Source: the Alexandria database, functional GGA-PBE.

Properties
energy relative to the elements = 0.320 eV/atom

Cell: 7.1875 7.1875 7.1875 Å, 90.00 90.00 90.00°
Space group F-43m (No. 216)
Symmetry-distinct sites (fractional):
Al (0.0000, 0.0000, 0.0000) (multiplicity 4)
Fe (0.2500, 0.2500, 0.7500) (multiplicity 4)
Tc (0.1249, 0.1249, 0.3751) (multiplicity 16)

Entry 8:
A relaxed AlFeTc2 crystal. Source: the Alexandria database, functional GGA-PBE.

Properties
energy relative to the elements = -0.115 eV/atom

Cell: 3.1558 4.1189 8.3183 Å, 90.00 90.00 90.00°
Space group Immm (No. 71)
Symmetry-distinct sites (fractional):
Al (0.0000, 0.0000, 0.0000) (multiplicity 2)
Fe (0.0000, 0.0000, 0.5000) (multiplicity 2)
Tc (0.0000, 0.5000, 0.2466) (multiplicity 4)

Entry 9:
A relaxed AlFeTc crystal. Source: the Alexandria database, functional GGA-PBE.

Properties
energy relative to the lowest polymorph listed for this composition = 0.000 eV per atom
energy relative to the elements = -0.265 eV/atom

Cell: 2.8250 2.8250 9.6038 Å, 90.00 90.00 90.00°
Space group I4mm (No. 107)
Symmetry-distinct sites (fractional):
Al (0.0000, 0.0000, 0.0000) (multiplicity 2)
Fe (0.0000, 0.0000, 0.6555) (multiplicity 2)
Tc (0.0000, 0.0000, 0.3156) (multiplicity 2)

Entry 10:
A relaxed AlFe2Tc crystal. Source: the Alexandria database, functional GGA-PBE.

Properties
energy relative to the elements = -0.124 eV/atom

Cell: 2.9608 4.1392 8.2144 Å, 90.00 90.00 90.00°
Space group Imm2 (No. 44)
Symmetry-distinct sites (fractional):
Al (0.0000, 0.0000, 0.0000) (multiplicity 2)
Fe (0.0000, 0.0000, 0.5118) (multiplicity 2)
Fe (0.0000, 0.5000, 0.2476) (multiplicity 2)
Tc (0.0000, 0.5000, 0.7639) (multiplicity 2)

Entry 11:
A relaxed AlFeTc2 crystal. Source: the Alexandria database, functional GGA-PBE.

Properties
energy relative to the elements = -0.093 eV/atom

Cell: 5.9865 5.9865 5.9865 Å, 90.00 90.00 90.00°
Space group F-43m (No. 216)
Symmetry-distinct sites (fractional):
Al (0.0000, 0.0000, 0.0000) (multiplicity 4)
Fe (0.2500, 0.2500, 0.2500) (multiplicity 4)
Tc (0.0000, 0.0000, 0.5000) (multiplicity 4)
Tc (0.2500, 0.2500, 0.7500) (multiplicity 4)

Entry 12:
A relaxed AlFeTc2 crystal. Source: the Alexandria database, functional GGA-PBE.

Properties
energy relative to the elements = -0.008 eV/atom

Cell: 2.7349 2.7349 25.5779 Å, 90.00 90.00 120.00°
Space group R-3m (No. 166, hexagonal axes)
Symmetry-distinct sites (fractional):
Al (0.0000, 0.0000, 0.0000) (multiplicity 3)
Fe (0.0000, 0.0000, 0.5000) (multiplicity 3)
Tc (0.0000, 0.0000, 0.2471) (multiplicity 6)

Entry 13:
A relaxed AlFeTc2 crystal. Source: the Alexandria database, functional GGA-PBE.

Properties
energy relative to the elements = -0.073 eV/atom

Cell: 3.1076 4.1880 4.2049 Å, 90.00 90.00 90.00°
Space group Pmmm (No. 47)
Symmetry-distinct sites (fractional):
Al (0.0000, 0.0000, 0.0000) (multiplicity 1)
Fe (0.5000, 0.0000, 0.5000) (multiplicity 1)
Tc (0.0000, 0.5000, 0.5000) (multiplicity 1)
Tc (0.5000, 0.5000, 0.0000) (multiplicity 1)

Entry 14:
A relaxed AlFe2Tc crystal. Source: the Alexandria database, functional GGA-PBE.

Properties
energy relative to the elements = -0.059 eV/atom

Cell: 3.6763 3.6763 7.5206 Å, 90.00 90.00 90.00°
Space group I4/mmm (No. 139)
Symmetry-distinct sites (fractional):
Al (0.0000, 0.0000, 0.0000) (multiplicity 2)
Fe (0.0000, 0.5000, 0.2500) (multiplicity 4)
Tc (0.0000, 0.0000, 0.5000) (multiplicity 2)

Entry 15:
A relaxed AlFe2Tc crystal. Source: the Alexandria database, functional GGA-PBE.

Properties
energy relative to the elements = -0.107 eV/atom

Cell: 3.1592 3.9984 4.1033 Å, 90.00 90.00 90.00°
Space group Pmmm (No. 47)
Symmetry-distinct sites (fractional):
Al (0.0000, 0.0000, 0.0000) (multiplicity 1)
Fe (0.0000, 0.5000, 0.5000) (multiplicity 1)
Fe (0.5000, 0.0000, 0.5000) (multiplicity 1)
Tc (0.5000, 0.5000, 0.0000) (multiplicity 1)

Entry 16:
A relaxed Al2Fe2Tc crystal. Source: the Alexandria database, functional GGA-PBE.

Properties
energy relative to the lowest polymorph listed for this composition = 0.081 eV per atom
energy relative to the elements = 0.024 eV/atom

Cell: 3.3590 3.3590 12.3091 Å, 90.00 90.00 90.00°
Space group I4/mmm (No. 139)
Symmetry-distinct sites (fractional):
Al (0.0000, 0.0000, 0.1000) (multiplicity 4)
Fe (0.0000, 0.5000, 0.2500) (multiplicity 4)
Tc (0.0000, 0.0000, 0.5000) (multiplicity 2)

Entry 17:
A relaxed AlFeTc2 crystal. Source: the Alexandria database, functional GGA-PBE.

Properties
energy relative to the elements = -0.079 eV/atom

Cell: 2.7236 2.7236 7.3060 Å, 90.00 90.00 90.00°
Space group P4/mmm (No. 123)
Symmetry-distinct sites (fractional):
Al (0.0000, 0.0000, 0.0000) (multiplicity 1)
Fe (0.0000, 0.0000, 0.5000) (multiplicity 1)
Tc (0.5000, 0.5000, 0.2642) (multiplicity 2)

Entry 18:
A relaxed AlFe2Tc crystal. Source: the Alexandria database, functional GGA-PBE.

Properties
energy relative to the elements = -0.069 eV/atom

Cell: 3.7033 3.7033 7.3835 Å, 90.00 90.00 90.00°
Space group I-4m2 (No. 119)
Symmetry-distinct sites (fractional):
Al (0.0000, 0.0000, 0.0000) (multiplicity 2)
Fe (0.0000, 0.0000, 0.5000) (multiplicity 2)
Fe (0.0000, 0.5000, 0.7500) (multiplicity 2)
Tc (0.0000, 0.5000, 0.2500) (multiplicity 2)

Entry 19:
A relaxed AlFeTc crystal. Source: the Alexandria database, functional GGA-PBE.

Properties
energy relative to the lowest polymorph listed for this composition = 0.189 eV per atom
energy relative to the elements = -0.076 eV/atom

Cell: 5.5888 5.5888 5.5888 Å, 90.00 90.00 90.00°
Space group F-43m (No. 216)
Symmetry-distinct sites (fractional):
Al (0.0000, 0.0000, 0.0000) (multiplicity 4)
Fe (0.2500, 0.2500, 0.2500) (multiplicity 4)
Tc (0.0000, 0.0000, 0.5000) (multiplicity 4)

Entry 20:
A relaxed AlFe2Tc crystal. Source: the Alexandria database, functional GGA-PBE.

Properties
energy relative to the elements = -0.079 eV/atom

Cell: 2.6420 3.7765 5.0970 Å, 90.00 90.98 90.00°
Space group P2/m (No. 10)
Symmetry-distinct sites (fractional):
Al (0.0000, 0.0000, 0.0000) (multiplicity 1)
Fe (0.5004, 0.5000, 0.2473) (multiplicity 2)
Tc (0.0000, 0.0000, 0.5000) (multiplicity 1)